! VIn3I PBE relaxed; values from VASP
! - V (Å³/atom) = 33.2
! - E_tot (hartree per atom) = -0.12868
! - crystal system = cubic
! - formation energy from raw total energies (eV per atom) = 0.28
&SYSTEM
  ibrav = 0, nat = 5, ntyp = 3
/
ATOMIC_SPECIES
I 126.90 I.upf
In 114.82 In.upf
V 50.94 V.upf
CELL_PARAMETERS angstrom
-2.676 -0.362 -4.789
4.725 -1.180 -2.551
-0.860 -5.358 0.885
ATOMIC_POSITIONS crystal
I 0.500 0.500 0.500
In 0.000 0.500 0.000
In 0.000 0.000 0.500
In 0.500 0.000 0.000
V 0.000 0.000 0.000



! VIn2I PBE relaxed; values from VASP
! - V (Å³/atom) = 27.3
! - E_tot (hartree per atom) = -0.13233
! - crystal system = tetragonal
! - distance to the lowest polymorph of the same formula (meV/atom) = 0.0
! - formation energy from raw total energies (eV per atom) = 0.44
&SYSTEM
  ibrav = 0, nat = 8, ntyp = 3
/
ATOMIC_SPECIES
I 126.90 I.upf
In 114.82 In.upf
V 50.94 V.upf
CELL_PARAMETERS angstrom
-3.495 -2.012 -1.355
1.481 0.113 -3.987
4.434 -11.561 -0.951
ATOMIC_POSITIONS crystal
I 0.000 0.000 0.000
I 0.750 0.250 0.500
In 0.621 0.125 0.250
In 0.129 0.625 0.250
In 0.375 0.379 0.750
In 0.875 0.871 0.750
V 0.500 0.500 0.000
V 0.250 0.750 0.500



! VIn3I6 PBE relaxed; values from VASP
! - V (Å³/atom) = 39.2
! - E_tot (hartree per atom) = -0.11385
! - crystal system = monoclinic
! - formation energy from raw total energies (eV per atom) = -0.43
&SYSTEM
  ibrav = 0, nat = 20, ntyp = 3
/
ATOMIC_SPECIES
V 50.94 V.upf
In 114.82 In.upf
I 126.90 I.upf
CELL_PARAMETERS angstrom
-6.606 -3.462 2.309
4.454 -7.423 1.614
1.012 2.999 10.999
ATOMIC_POSITIONS crystal
V 0.500 0.500 0.500
V 0.000 0.000 0.000
In 0.540 0.902 0.773
In 0.500 0.500 0.000
In 0.460 0.098 0.227
In 0.040 0.598 0.273
In 0.000 0.000 0.500
In 0.960 0.402 0.727
I 0.706 0.162 0.956
I 0.650 0.230 0.576
I 0.642 0.442 0.273
I 0.358 0.558 0.727
I 0.350 0.770 0.424
I 0.294 0.838 0.044
I 0.206 0.338 0.456
I 0.150 0.270 0.076
I 0.142 0.058 0.773
I 0.858 0.942 0.227
I 0.850 0.730 0.924
I 0.794 0.662 0.544



! VInI6 PBE relaxed; values from VASP
! - V (Å³/atom) = 40.5
! - E_tot (hartree per atom) = -0.11128
! - crystal system = monoclinic
! - formation energy from raw total energies (eV per atom) = -0.38
&SYSTEM
  ibrav = 0, nat = 8, ntyp = 3
/
ATOMIC_SPECIES
V 50.94 V.upf
In 114.82 In.upf
I 126.90 I.upf
CELL_PARAMETERS angstrom
-2.849 -1.502 -6.415
7.533 -2.187 2.417
-4.794 -3.908 4.434
ATOMIC_POSITIONS crystal
V 0.000 0.500 0.000
In 0.000 0.000 0.000
I 0.854 0.112 0.705
I 0.148 0.407 0.295
I 0.852 0.593 0.705
I 0.146 0.888 0.295
I 0.465 0.734 0.000
I 0.535 0.266 0.000



! In3WI PBE relaxed; values from VASP
! - V (Å³/atom) = 33.6
! - E_tot (hartree per atom) = -0.14388
! - crystal system = cubic
! - distance to the lowest polymorph of the same formula (meV/atom) = 0.0
! - formation energy from raw total energies (eV per atom) = 0.63
&SYSTEM
  ibrav = 0, nat = 5, ntyp = 3
/
ATOMIC_SPECIES
I 126.90 I.upf
W 183.84 W.upf
In 114.82 In.upf
CELL_PARAMETERS angstrom
-0.700 0.450 5.455
-5.462 0.303 -0.726
-0.358 -5.491 0.407
ATOMIC_POSITIONS crystal
I 0.500 0.500 0.500
W 0.000 0.000 0.000
In 0.000 0.500 0.000
In 0.000 0.000 0.500
In 0.500 0.000 0.000



! InW3I PBE relaxed; values from VASP
! - V (Å³/atom) = 23.3
! - E_tot (hartree per atom) = -0.22076
! - crystal system = cubic
! - distance to the lowest polymorph of the same formula (meV/atom) = 0.0
! - formation energy from raw total energies (eV per atom) = 2.62
&SYSTEM
  ibrav = 0, nat = 5, ntyp = 3
/
ATOMIC_SPECIES
I 126.90 I.upf
W 183.84 W.upf
In 114.82 In.upf
CELL_PARAMETERS angstrom
-1.807 4.307 -1.423
-3.747 -0.554 3.082
2.557 2.233 3.510
ATOMIC_POSITIONS crystal
I 0.000 0.000 0.000
W 0.000 0.500 0.000
W 0.000 0.000 0.500
W 0.500 0.000 0.000
In 0.500 0.500 0.500



! In3WI PBE relaxed; values from VASP
! - V (Å³/atom) = 46.9
! - E_tot (hartree per atom) = -0.10389
! - crystal system = cubic
! - distance to the lowest polymorph of the same formula (meV/atom) = 1088.3
! - formation energy from raw total energies (eV per atom) = 1.72
&SYSTEM
  ibrav = 0, nat = 5, ntyp = 3
/
ATOMIC_SPECIES
I 126.90 I.upf
W 183.84 W.upf
In 114.82 In.upf
CELL_PARAMETERS angstrom
-1.116 2.977 5.283
-5.202 -3.230 0.721
3.116 -4.327 3.096
ATOMIC_POSITIONS crystal
I 0.000 0.000 0.000
W 0.500 0.500 0.500
In 0.000 0.500 0.000
In 0.000 0.000 0.500
In 0.500 0.000 0.000



! InW2I4 PBE relaxed; values from VASP
! - V (Å³/atom) = 40.1
! - E_tot (hartree per atom) = -0.14866
! - crystal system = tetragonal
! - formation energy from raw total energies (eV per atom) = 0.93
&SYSTEM
  ibrav = 0, nat = 7, ntyp = 3
/
ATOMIC_SPECIES
I 126.90 I.upf
W 183.84 W.upf
In 114.82 In.upf
CELL_PARAMETERS angstrom
6.320 0.000 0.000
0.000 6.320 0.000
3.160 3.160 7.023
ATOMIC_POSITIONS crystal
I 0.778 0.778 0.445
I 0.222 0.222 0.555
I 0.000 0.500 0.000
I 0.500 0.000 0.000
W 0.575 0.575 0.850
W 0.425 0.425 0.150
In 0.000 0.000 0.000



! Zr2InWI PBE relaxed; values from VASP
! - V (Å³/atom) = 31.6
! - E_tot (hartree per atom) = -0.17525
! - crystal system = tetragonal
! - formation energy from raw total energies (eV per atom) = 2.10
&SYSTEM
  ibrav = 0, nat = 5, ntyp = 4
/
ATOMIC_SPECIES
I 126.90 I.upf
Zr 91.22 Zr.upf
W 183.84 W.upf
In 114.82 In.upf
CELL_PARAMETERS angstrom
-5.260 -0.980 -0.185
0.705 -2.904 -4.640
0.727 -4.446 2.893
ATOMIC_POSITIONS crystal
I 0.000 0.500 0.000
Zr 0.000 0.000 0.500
Zr 0.500 0.000 0.000
W 0.500 0.500 0.500
In 0.000 0.000 0.000



! YInI4 PBE relaxed; values from VASP
! - V (Å³/atom) = 48.2
! - E_tot (hartree per atom) = -0.13406
! - crystal system = triclinic
! - formation energy from raw total energies (eV per atom) = -1.08
&SYSTEM
  ibrav = 0, nat = 6, ntyp = 3
/
ATOMIC_SPECIES
Y 88.91 Y.upf
In 114.82 In.upf
I 126.90 I.upf
CELL_PARAMETERS angstrom
-0.356 3.324 3.013
-0.178 -6.759 4.062
8.550 1.351 -0.479
ATOMIC_POSITIONS crystal
Y 0.000 0.000 0.000
In 0.500 0.000 0.500
I 0.880 0.761 0.682
I 0.120 0.239 0.318
I 0.383 0.767 0.105
I 0.617 0.233 0.895



! Y3InI PBE relaxed; values from VASP
! - V (Å³/atom) = 34.8
! - E_tot (hartree per atom) = -0.16923
! - crystal system = cubic
! - distance to the lowest polymorph of the same formula (meV/atom) = 0.0
! - formation energy from raw total energies (eV per atom) = 0.13
&SYSTEM
  ibrav = 0, nat = 5, ntyp = 3
/
ATOMIC_SPECIES
I 126.90 I.upf
Y 88.91 Y.upf
In 114.82 In.upf
CELL_PARAMETERS angstrom
5.582 0.000 0.000
0.000 5.582 0.000
0.000 0.000 5.582
ATOMIC_POSITIONS crystal
I 0.000 0.000 0.000
Y 0.000 0.500 0.000
Y 0.000 0.000 0.500
Y 0.500 0.000 0.000
In 0.500 0.500 0.500



! Y4InI5 PBE relaxed; values from VASP
! - V (Å³/atom) = 36.3
! - E_tot (hartree per atom) = -0.17040
! - crystal system = monoclinic
! - formation energy from raw total energies (eV per atom) = -1.00
&SYSTEM
  ibrav = 0, nat = 10, ntyp = 3
/
ATOMIC_SPECIES
Y 88.91 Y.upf
In 114.82 In.upf
I 126.90 I.upf
CELL_PARAMETERS angstrom
-3.143 2.905 -0.533
-3.601 -2.466 7.796
7.586 5.552 2.969
ATOMIC_POSITIONS crystal
Y 0.655 0.076 0.309
Y 0.001 0.227 0.003
Y 0.345 0.924 0.691
Y 0.999 0.773 0.997
In 0.500 0.000 0.000
I 0.168 0.333 0.336
I 0.172 0.828 0.345
I 0.828 0.172 0.655
I 0.500 0.500 0.000
I 0.832 0.667 0.664



! YIn5I8 PBE relaxed; values from VASP
! - V (Å³/atom) = 47.8
! - E_tot (hartree per atom) = -0.11170
! - crystal system = monoclinic
! - formation energy from raw total energies (eV per atom) = -0.71
&SYSTEM
  ibrav = 0, nat = 14, ntyp = 3
/
ATOMIC_SPECIES
Y 88.91 Y.upf
In 114.82 In.upf
I 126.90 I.upf
CELL_PARAMETERS angstrom
9.388 -0.189 -2.849
-5.155 7.800 -2.979
0.024 -0.095 9.315
ATOMIC_POSITIONS crystal
Y 0.150 0.650 0.500
In 0.859 0.354 0.930
In 0.648 0.646 0.528
In 0.424 0.930 0.070
In 0.426 0.426 0.000
In 0.118 0.121 0.472
I 0.151 0.794 0.256
I 0.191 0.383 0.278
I 0.679 0.841 0.265
I 0.130 0.490 0.738
I 0.753 0.393 0.262
I 0.105 0.913 0.722
I 0.538 0.896 0.744
I 0.576 0.414 0.735



! YIn2I5 PBE relaxed; values from VASP
! - V (Å³/atom) = 39.3
! - E_tot (hartree per atom) = -0.12410
! - crystal system = orthorhombic
! - formation energy from raw total energies (eV per atom) = -0.92
&SYSTEM
  ibrav = 0, nat = 32, ntyp = 3
/
ATOMIC_SPECIES
Y 88.91 Y.upf
In 114.82 In.upf
I 126.90 I.upf
CELL_PARAMETERS angstrom
-2.328 -3.271 -8.445
-7.300 -4.890 3.907
-8.406 10.997 -1.943
ATOMIC_POSITIONS crystal
Y 0.421 0.250 0.506
Y 0.579 0.750 0.494
Y 0.921 0.750 0.994
Y 0.079 0.250 0.006
In 0.408 0.501 0.829
In 0.592 0.499 0.171
In 0.908 0.499 0.671
In 0.592 0.001 0.171
In 0.092 0.501 0.329
In 0.408 0.999 0.829
In 0.092 0.999 0.329
In 0.908 0.001 0.671
I 0.077 0.250 0.503
I 0.923 0.750 0.497
I 0.577 0.750 0.997
I 0.423 0.250 0.003
I 0.327 0.951 0.564
I 0.673 0.049 0.436
I 0.827 0.049 0.936
I 0.673 0.451 0.436
I 0.173 0.951 0.064
I 0.327 0.549 0.564
I 0.173 0.549 0.064
I 0.827 0.451 0.936
I 0.144 0.250 0.791
I 0.856 0.750 0.209
I 0.644 0.750 0.709
I 0.356 0.250 0.291
I 0.589 0.250 0.696
I 0.411 0.750 0.304
I 0.089 0.750 0.804
I 0.911 0.250 0.196



! YIn2I4 PBE relaxed; values from VASP
! - V (Å³/atom) = 46.7
! - E_tot (hartree per atom) = -0.11954
! - crystal system = tetragonal
! - formation energy from raw total energies (eV per atom) = -0.66
&SYSTEM
  ibrav = 0, nat = 7, ntyp = 3
/
ATOMIC_SPECIES
I 126.90 I.upf
Y 88.91 Y.upf
In 114.82 In.upf
CELL_PARAMETERS angstrom
-1.837 0.760 5.831
2.691 -5.323 1.541
7.738 1.923 5.441
ATOMIC_POSITIONS crystal
I 0.828 0.828 0.343
I 0.172 0.172 0.657
I 0.000 0.500 0.000
I 0.500 0.000 0.000
Y 0.000 0.000 0.000
In 0.610 0.610 0.779
In 0.390 0.390 0.221



! YInI3 PBE relaxed; values from VASP
! - V (Å³/atom) = 43.4
! - E_tot (hartree per atom) = -0.10240
! - crystal system = cubic
! - distance to the lowest polymorph of the same formula (meV/atom) = 728.4
! - formation energy from raw total energies (eV per atom) = -0.02
&SYSTEM
  ibrav = 0, nat = 5, ntyp = 3
/
ATOMIC_SPECIES
I 126.90 I.upf
Y 88.91 Y.upf
In 114.82 In.upf
CELL_PARAMETERS angstrom
6.008 0.000 0.000
0.000 6.008 0.000
0.000 0.000 6.008
ATOMIC_POSITIONS crystal
I 0.000 0.500 0.000
I 0.000 0.000 0.500
I 0.500 0.000 0.000
Y 0.500 0.500 0.500
In 0.000 0.000 0.000



! YIn2I6 PBE relaxed; values from VASP
! - V (Å³/atom) = 46.9
! - E_tot (hartree per atom) = -0.11555
! - crystal system = monoclinic
! - formation energy from raw total energies (eV per atom) = -0.78
&SYSTEM
  ibrav = 0, nat = 18, ntyp = 3
/
ATOMIC_SPECIES
Y 88.91 Y.upf
In 114.82 In.upf
I 126.90 I.upf
CELL_PARAMETERS angstrom
-4.506 -5.833 2.653
5.541 -4.685 -7.891
9.407 -1.912 4.773
ATOMIC_POSITIONS crystal
Y 0.250 0.088 0.912
Y 0.750 0.912 0.088
In 0.296 0.623 0.794
In 0.204 0.206 0.377
In 0.704 0.377 0.206
In 0.796 0.794 0.623
I 0.410 0.672 0.524
I 0.090 0.476 0.328
I 0.590 0.328 0.476
I 0.910 0.524 0.672
I 0.962 0.880 0.356
I 0.538 0.644 0.120
I 0.038 0.120 0.644
I 0.462 0.356 0.880
I 0.014 0.818 0.970
I 0.486 0.030 0.182
I 0.986 0.182 0.030
I 0.514 0.970 0.818



! YIn3I6 PBE relaxed; values from VASP
! - V (Å³/atom) = 44.0
! - E_tot (hartree per atom) = -0.11869
! - crystal system = monoclinic
! - formation energy from raw total energies (eV per atom) = -0.83
&SYSTEM
  ibrav = 0, nat = 20, ntyp = 3
/
ATOMIC_SPECIES
Y 88.91 Y.upf
In 114.82 In.upf
I 126.90 I.upf
CELL_PARAMETERS angstrom
8.077 0.000 0.377
0.000 9.185 0.000
0.450 0.000 11.888
ATOMIC_POSITIONS crystal
Y 0.500 0.500 0.500
Y 0.000 0.000 0.000
In 0.534 0.900 0.781
In 0.500 0.500 0.000
In 0.466 0.100 0.219
In 0.034 0.600 0.281
In 0.000 0.000 0.500
In 0.966 0.400 0.719
I 0.688 0.166 0.952
I 0.655 0.219 0.581
I 0.651 0.438 0.262
I 0.349 0.562 0.738
I 0.345 0.781 0.419
I 0.312 0.834 0.048
I 0.188 0.334 0.452
I 0.155 0.281 0.081
I 0.151 0.062 0.762
I 0.849 0.938 0.238
I 0.845 0.719 0.919
I 0.812 0.666 0.548



! YInI3 PBE relaxed; values from VASP
! - V (Å³/atom) = 43.8
! - E_tot (hartree per atom) = -0.12917
! - crystal system = cubic
! - distance to the lowest polymorph of the same formula (meV/atom) = 0.0
! - formation energy from raw total energies (eV per atom) = -0.74
&SYSTEM
  ibrav = 0, nat = 5, ntyp = 3
/
ATOMIC_SPECIES
I 126.90 I.upf
Y 88.91 Y.upf
In 114.82 In.upf
CELL_PARAMETERS angstrom
6.028 0.000 0.000
0.000 6.028 0.000
0.000 0.000 6.028
ATOMIC_POSITIONS crystal
I 0.000 0.500 0.000
I 0.000 0.000 0.500
I 0.500 0.000 0.000
Y 0.000 0.000 0.000
In 0.500 0.500 0.500



! ZnIn2I8 PBE relaxed; values from VASP
! - V (Å³/atom) = 49.8
! - E_tot (hartree per atom) = -0.08121
! - crystal system = monoclinic
! - distance to the lowest polymorph of the same formula (meV/atom) = 0.0
! - formation energy from raw total energies (eV per atom) = -0.47
&SYSTEM
  ibrav = 0, nat = 11, ntyp = 3
/
ATOMIC_SPECIES
Zn 65.41 Zn.upf
In 114.82 In.upf
I 126.90 I.upf
CELL_PARAMETERS angstrom
7.176 0.204 0.170
0.388 8.801 -0.128
0.388 1.483 8.676
ATOMIC_POSITIONS crystal
Zn 0.000 0.000 0.000
In 0.354 0.203 0.203
In 0.646 0.797 0.797
I 0.792 0.089 0.733
I 0.208 0.267 0.911
I 0.739 0.194 0.194
I 0.261 0.806 0.806
I 0.792 0.733 0.089
I 0.208 0.911 0.267
I 0.221 0.399 0.399
I 0.779 0.601 0.601



! ZnIn2I4 PBE relaxed; values from VASP
! - V (Å³/atom) = 58.7
! - E_tot (hartree per atom) = -0.08497
! - crystal system = tetragonal
! - distance to the lowest polymorph of the same formula (meV/atom) = 33.2
! - formation energy from raw total energies (eV per atom) = -0.46
&SYSTEM
  ibrav = 0, nat = 7, ntyp = 3
/
ATOMIC_SPECIES
Zn 65.41 Zn.upf
In 114.82 In.upf
I 126.90 I.upf
CELL_PARAMETERS angstrom
8.292 0.000 0.000
0.000 8.292 0.000
-4.146 -4.146 5.978
ATOMIC_POSITIONS crystal
Zn 0.500 0.500 0.000
In 0.750 0.250 0.500
In 0.250 0.750 0.500
I 0.808 0.421 0.229
I 0.421 0.808 0.229
I 0.579 0.579 0.771
I 0.192 0.192 0.771



! Zn2InI6 PBE relaxed; values from VASP
! - V (Å³/atom) = 43.6
! - E_tot (hartree per atom) = -0.07722
! - crystal system = triclinic
! - formation energy from raw total energies (eV per atom) = -0.48
&SYSTEM
  ibrav = 0, nat = 9, ntyp = 3
/
ATOMIC_SPECIES
Zn 65.41 Zn.upf
In 114.82 In.upf
I 126.90 I.upf
CELL_PARAMETERS angstrom
-6.493 -2.151 -5.253
8.177 -1.448 1.897
0.202 -6.227 7.552
ATOMIC_POSITIONS crystal
Zn 0.888 0.576 0.848
Zn 0.112 0.424 0.152
In 0.000 0.000 0.500
I 0.291 0.679 0.900
I 0.709 0.321 0.100
I 0.999 0.017 0.186
I 0.639 0.365 0.590
I 0.001 0.983 0.814
I 0.361 0.635 0.410